No. 1
First-principles (PBE) data for crystalline Sc12Sn5C2 at its relaxed geometry, as listed in the Alexandria database.

Lattice parameters (Å, degrees): 8.6558 8.6558 8.9338 104.88 104.88 47.88
Atoms (fractional coordinates):
Sc: 0.0004 0.0004 0.1700
Sc: 0.9996 0.9996 0.8300
Sc: 0.0997 0.5960 0.4227
Sc: 0.1034 0.5972 0.9255
Sc: 0.4028 0.8966 0.0745
Sc: 0.4040 0.9003 0.5773
Sc: 0.4983 0.4983 0.1658
Sc: 0.5017 0.5017 0.8342
Sc: 0.5960 0.0997 0.4227
Sc: 0.5972 0.1034 0.9255
Sc: 0.8966 0.4028 0.0745
Sc: 0.9003 0.4040 0.5773
Sn: 0.1883 0.1883 0.8413
Sn: 0.1904 0.1904 0.3481
Sn: 0.5000 0.5000 0.5000
Sn: 0.8096 0.8096 0.6519
Sn: 0.8117 0.8117 0.1587
C: 0.2525 0.7475 0.0000
C: 0.7475 0.2525 0.0000

Calculated values
Crystal system   monoclinic
Magnetization   4.4 Bohr magnetons per cell
Symmetry   C2/m
E   -121.479 eV per cell
E_form   -679 kJ/mol of formula units

=====

No. 2
First-principles (PBE) data for crystalline KGaPb at its relaxed geometry, as listed in the Alexandria database.

Lattice parameters (Å, degrees): 4.6849 16.4835 5.0332 90.00 90.00 90.00
Atoms (fractional coordinates):
K: 0.0000 0.0883 0.2500
K: 0.0000 0.9117 0.7500
K: 0.5000 0.4117 0.7500
K: 0.5000 0.5883 0.2500
Ga: 0.0000 0.2533 0.7500
Ga: 0.0000 0.7467 0.2500
Ga: 0.5000 0.2467 0.2500
Ga: 0.5000 0.7533 0.7500
Pb: 0.0000 0.3561 0.2500
Pb: 0.0000 0.6439 0.7500
Pb: 0.5000 0.1439 0.7500
Pb: 0.5000 0.8561 0.2500

Calculated values
Crystal system   orthorhombic
Magnetization   0.0 Bohr magnetons per cell
Symmetry   Cmcm
E   -32.740 eV per cell
E_form   -34 kJ/mol of formula units

=====

No. 3
First-principles (PBE) data for crystalline Pm2Nd6Rh at its relaxed geometry, as listed in the Alexandria database.

Lattice parameters (Å, degrees): 10.0685 10.0685 3.7202 90.00 90.00 124.39
Atoms (fractional coordinates):
Pm: 0.1711 0.8289 0.0000
Pm: 0.8289 0.1711 0.0000
Nd: 0.1653 0.5009 0.5000
Nd: 0.2792 0.2792 0.0000
Nd: 0.4991 0.8347 0.5000
Nd: 0.5009 0.1653 0.5000
Nd: 0.7208 0.7208 0.0000
Nd: 0.8347 0.4991 0.5000
Rh: 0.5000 0.5000 0.5000

Calculated values
Crystal system   orthorhombic
Magnetization   0.0 Bohr magnetons per cell
Symmetry   Cmmm
E   -45.220 eV per cell
E_form   23 kJ/mol of formula units

=====

No. 4
First-principles (PBE) data for crystalline ZnRu2Au2 at its relaxed geometry, as listed in the Alexandria database.

Lattice parameters (Å, degrees): 6.4634 6.4634 4.0480 90.00 90.00 90.00
Atoms (fractional coordinates):
Zn: 0.0000 0.0000 0.0000
Zn: 0.5000 0.5000 0.0000
Ru: 0.1286 0.3714 0.0000
Ru: 0.3714 0.8714 0.0000
Ru: 0.6286 0.1286 0.0000
Ru: 0.8714 0.6286 0.0000
Au: 0.1743 0.6743 0.5000
Au: 0.3257 0.1743 0.5000
Au: 0.6743 0.8257 0.5000
Au: 0.8257 0.3257 0.5000

Calculated values
Crystal system   tetragonal
Magnetization   1.5 Bohr magnetons per cell
Symmetry   P4/mbm
E   -48.614 eV per cell
E_form   200 kJ/mol of formula units

=====

No. 5
First-principles (PBE) data for crystalline SmEr3Tc at its relaxed geometry, as listed in the Alexandria database.

Lattice parameters (Å, degrees): 5.3545 5.3545 5.3545 90.00 90.00 90.00
Atoms (fractional coordinates):
Sm: 0.0000 0.0000 0.0000
Er: 0.0000 0.5000 0.5000
Er: 0.5000 0.0000 0.5000
Er: 0.5000 0.5000 0.0000
Tc: 0.5000 0.5000 0.5000

Calculated values
Crystal system   cubic
Magnetization   0.0 Bohr magnetons per cell
Symmetry   Pm-3m
E   -28.187 eV per cell
E_form   57 kJ/mol of formula units

=====

No. 6
First-principles (PBE) data for crystalline La2TbNd4Y2 at its relaxed geometry, as listed in the Alexandria database.

Lattice parameters (Å, degrees): 9.7419 9.7419 9.8016 115.20 115.20 21.88
Atoms (fractional coordinates):
La: 0.1656 0.1656 0.9999
La: 0.8344 0.8344 0.0001
Tb: 0.5000 0.5000 0.0000
Nd: 0.0187 0.0187 0.3346
Nd: 0.3143 0.3143 0.6659
Nd: 0.6857 0.6857 0.3341
Nd: 0.9813 0.9813 0.6654
Y: 0.3526 0.3526 0.3340
Y: 0.6474 0.6474 0.6660

Calculated values
Crystal system   monoclinic
Magnetization   0.0 Bohr magnetons per cell
Symmetry   C2/m
E   -46.442 eV per cell
E_form   4 kJ/mol of formula units

=====

No. 7
First-principles (PBE) data for crystalline KMnRe2 at its relaxed geometry, as listed in the Alexandria database.

Lattice parameters (Å, degrees): 5.3823 10.3288 2.6194 90.00 106.62 90.00
Atoms (fractional coordinates):
K: 0.0000 0.0000 0.0000
K: 0.5000 0.5000 0.0000
Mn: 0.0000 0.5000 0.0000
Mn: 0.5000 0.0000 0.0000
Re: 0.2500 0.2500 0.5000
Re: 0.2500 0.7500 0.5000
Re: 0.7500 0.2500 0.5000
Re: 0.7500 0.7500 0.5000

Calculated values
Crystal system   monoclinic
Magnetization   7.2 Bohr magnetons per cell
Symmetry   C2/m
E   -59.708 eV per cell
E_form   512 kJ/mol of formula units

=====

No. 8
First-principles (PBE) data for crystalline Pu2SnBi at its relaxed geometry, as listed in the Alexandria database.

Lattice parameters (Å, degrees): 3.4499 3.4499 9.1787 90.00 90.00 90.00
Atoms (fractional coordinates):
Pu: 0.0000 0.0000 0.2429
Pu: 0.0000 0.0000 0.7571
Sn: 0.5000 0.5000 0.0000
Bi: 0.5000 0.5000 0.5000

Calculated values
Crystal system   tetragonal
Magnetization   11.8 Bohr magnetons per cell
Symmetry   P4/mmm
E   -37.990 eV per cell
E_form   -139 kJ/mol of formula units

=====

No. 9
First-principles (PBE) data for crystalline HfIrRu3 at its relaxed geometry, as listed in the Alexandria database.

Lattice parameters (Å, degrees): 4.6522 4.6522 4.6522 90.00 90.00 90.00
Atoms (fractional coordinates):
Hf: 0.0000 0.0000 0.0000
Ir: 0.5000 0.5000 0.5000
Ru: 0.0000 0.5000 0.5000
Ru: 0.5000 0.0000 0.5000
Ru: 0.5000 0.5000 0.0000

Calculated values
Crystal system   cubic
Magnetization   0.0 Bohr magnetons per cell
Symmetry   Pm-3m
E   -40.135 eV per cell
E_form   628 kJ/mol of formula units

=====

No. 10
First-principles (PBE) data for crystalline ThCo6B at its relaxed geometry, as listed in the Alexandria database.

Lattice parameters (Å, degrees): 3.5995 3.5995 7.9186 90.00 90.00 90.00
Atoms (fractional coordinates):
Th: 0.0000 0.0000 0.0000
Co: 0.0000 0.5000 0.3531
Co: 0.0000 0.5000 0.6469
Co: 0.5000 0.0000 0.3531
Co: 0.5000 0.0000 0.6469
Co: 0.5000 0.5000 0.1540
Co: 0.5000 0.5000 0.8460
B: 0.0000 0.0000 0.5000

Calculated values
Crystal system   tetragonal
Magnetization   6.2 Bohr magnetons per cell
Symmetry   P4/mmm
E   -56.754 eV per cell
E_form   -2 kJ/mol of formula units

=====

No. 11
First-principles (PBE) data for crystalline MgGe3F at its relaxed geometry, as listed in the Alexandria database.

Lattice parameters (Å, degrees): 5.0152 5.0152 5.0152 90.00 90.00 90.00
Atoms (fractional coordinates):
Mg: 0.0000 0.0000 0.0000
Ge: 0.0000 0.0000 0.5000
Ge: 0.0000 0.5000 0.0000
Ge: 0.5000 0.0000 0.0000
F: 0.5000 0.5000 0.5000

Calculated values
Crystal system   cubic
ΔE_f (raw)   0.471 eV/atom
Magnetization   0.0 Bohr magnetons per cell
Symmetry   Pm-3m
E   -14.961 eV per cell

=====

No. 12
First-principles (PBE) data for crystalline Na3Eu2Si2Te6 at its relaxed geometry, as listed in the Alexandria database.

Lattice parameters (Å, degrees): 7.7608 7.7608 8.4379 98.84 98.84 120.02
Atoms (fractional coordinates):
Na: 0.0000 0.0000 0.0000
Na: 0.3338 0.6662 0.0000
Na: 0.6662 0.3338 0.0000
Eu: 0.1671 0.8329 0.5000
Eu: 0.8329 0.1671 0.5000
Si: 0.4498 0.4498 0.3509
Si: 0.5502 0.5502 0.6491
Te: 0.0976 0.4176 0.2545
Te: 0.2614 0.2614 0.7425
Te: 0.4176 0.0976 0.2545
Te: 0.5824 0.9024 0.7455
Te: 0.7386 0.7386 0.2575
Te: 0.9024 0.5824 0.7455

Calculated values
Crystal system   monoclinic
ΔE_f (raw)   -0.826 eV/atom
Magnetization   14.1 Bohr magnetons per cell
Symmetry   C2/m
E   -64.937 eV per cell

=====

No. 13
First-principles (PBE) data for crystalline BaNi4H7 at its relaxed geometry, as listed in the Alexandria database.

Lattice parameters (Å, degrees): 3.6813 12.7211 4.6319 90.00 90.00 90.00
Atoms (fractional coordinates):
Ba: 0.2500 0.2500 0.2012
Ba: 0.7500 0.7500 0.7988
Ni: 0.2500 0.5065 0.8113
Ni: 0.2500 0.6194 0.3004
Ni: 0.2500 0.8806 0.3004
Ni: 0.2500 0.9935 0.8113
Ni: 0.7500 0.0065 0.1887
Ni: 0.7500 0.1194 0.6996
Ni: 0.7500 0.3806 0.6996
Ni: 0.7500 0.4935 0.1887
H: 0.2500 0.0059 0.1754
H: 0.2500 0.1199 0.7065
H: 0.2500 0.3801 0.7065
H: 0.2500 0.4941 0.1754
H: 0.2500 0.6175 0.6461
H: 0.2500 0.7500 0.2900
H: 0.2500 0.8825 0.6461
H: 0.7500 0.1175 0.3539
H: 0.7500 0.2500 0.7100
H: 0.7500 0.3825 0.3539
H: 0.7500 0.5059 0.8246
H: 0.7500 0.6199 0.2935
H: 0.7500 0.8801 0.2935
H: 0.7500 0.9941 0.8246

Calculated values
Crystal system   orthorhombic
Magnetization   0.0 Bohr magnetons per cell
Symmetry   Pmmn
E   -100.803 eV per cell

=====

No. 14
First-principles (PBE) data for crystalline TbNd5Mg6 at its relaxed geometry, as listed in the Alexandria database.

Lattice parameters (Å, degrees): 8.6608 8.6608 7.7517 90.00 90.00 143.16
Atoms (fractional coordinates):
Tb: 0.0000 0.0000 0.0000
Nd: 0.0000 0.0000 0.5000
Nd: 0.3319 0.6681 0.5000
Nd: 0.3347 0.6653 0.0000
Nd: 0.6653 0.3347 0.0000
Nd: 0.6681 0.3319 0.5000
Mg: 0.1650 0.8350 0.2462
Mg: 0.1650 0.8350 0.7538
Mg: 0.5000 0.5000 0.2480
Mg: 0.5000 0.5000 0.7520
Mg: 0.8350 0.1650 0.2462
Mg: 0.8350 0.1650 0.7538

Calculated values
Crystal system   orthorhombic
Magnetization   0.0 Bohr magnetons per cell
Symmetry   Cmmm
E   -39.329 eV per cell
E_form   -125 kJ/mol of formula units

=====

No. 15
First-principles (PBE) data for crystalline BaZnSe2 at its relaxed geometry, as listed in the Alexandria database.

Lattice parameters (Å, degrees): 4.1055 8.1809 8.0183 90.00 90.00 90.00
Atoms (fractional coordinates):
Ba: 0.0000 0.0000 0.0000
Ba: 0.5000 0.5000 0.0000
Zn: 0.0000 0.0000 0.5000
Zn: 0.5000 0.5000 0.5000
Se: 0.0000 0.5000 0.2911
Se: 0.0000 0.5000 0.7089
Se: 0.5000 0.0000 0.2911
Se: 0.5000 0.0000 0.7089

Calculated values
Crystal system   orthorhombic
ΔE_f (raw)   -0.828 eV/atom
Magnetization   0.0 Bohr magnetons per cell
Symmetry   Cmmm
E   -26.952 eV per cell

=====

No. 16
First-principles (PBE) data for crystalline Mn2AlTl at its relaxed geometry, as listed in the Alexandria database.

Lattice parameters (Å, degrees): 3.8735 3.8735 8.7461 90.00 90.00 90.00
Atoms (fractional coordinates):
Mn: 0.0000 0.0000 0.0000
Mn: 0.0000 0.5000 0.2500
Mn: 0.5000 0.0000 0.7500
Mn: 0.5000 0.5000 0.5000
Al: 0.0000 0.5000 0.7500
Al: 0.5000 0.0000 0.2500
Tl: 0.0000 0.0000 0.5000
Tl: 0.5000 0.5000 0.0000

Calculated values
Crystal system   tetragonal
Magnetization   12.3 Bohr magnetons per cell
Symmetry   I-4m2
E   -46.663 eV per cell
E_form   108 kJ/mol of formula units

=====

No. 17
First-principles (PBE) data for crystalline CaGa5Ir3 at its relaxed geometry, as listed in the Alexandria database.

Lattice parameters (Å, degrees): 7.5215 7.5215 8.7812 120.09 120.09 73.42
Atoms (fractional coordinates):
Ca: 0.2393 0.2393 0.4360
Ca: 0.7607 0.7607 0.5640
Ga: 0.2148 0.7549 0.1547
Ga: 0.2221 0.7779 0.5000
Ga: 0.2451 0.7852 0.8453
Ga: 0.2595 0.2595 0.1131
Ga: 0.3016 0.3016 0.8263
Ga: 0.6984 0.6984 0.1737
Ga: 0.7405 0.7405 0.8869
Ga: 0.7549 0.2148 0.1547
Ga: 0.7779 0.2221 0.5000
Ga: 0.7852 0.2451 0.8453
Ir: 0.0000 0.0000 0.0000
Ir: 0.0609 0.0609 0.7201
Ir: 0.4956 0.4956 0.1788
Ir: 0.5000 0.5000 0.5000
Ir: 0.5044 0.5044 0.8212
Ir: 0.9391 0.9391 0.2799

Calculated values
Crystal system   monoclinic
Magnetization   0.0 Bohr magnetons per cell
Symmetry   C2/m
E   -93.461 eV per cell
E_form   -291 kJ/mol of formula units

=====

No. 18
First-principles (PBE) data for crystalline KBa at its relaxed geometry, as listed in the Alexandria database.

Lattice parameters (Å, degrees): 6.8248 6.8248 7.4812 90.00 90.00 120.00
Atoms (fractional coordinates):
K: 0.0000 0.0000 0.0000
K: 0.0000 0.0000 0.5000
Ba: 0.3333 0.6667 0.2500
Ba: 0.6667 0.3333 0.7500

Calculated values
Crystal system   hexagonal
Magnetization   0.0 Bohr magnetons per cell
Symmetry   P6_3/mmc
E   -4.542 eV per cell
E_form   72 kJ/mol of formula units

=====

No. 19
First-principles (PBE) data for crystalline BaCa2CdF8 at its relaxed geometry, as listed in the Alexandria database.

Lattice parameters (Å, degrees): 4.0726 5.7502 7.9531 90.00 90.00 90.00
Atoms (fractional coordinates):
Ba: 0.0000 0.0000 0.0000
Ca: 0.5000 0.5000 0.2638
Ca: 0.5000 0.5000 0.7362
Cd: 0.0000 0.0000 0.5000
F: 0.0000 0.2639 0.2727
F: 0.0000 0.2639 0.7273
F: 0.0000 0.7361 0.2727
F: 0.0000 0.7361 0.7273
F: 0.5000 0.2455 0.5000
F: 0.5000 0.2798 0.0000
F: 0.5000 0.7202 0.0000
F: 0.5000 0.7545 0.5000

Calculated values
Crystal system   orthorhombic
ΔE_f (raw)   -3.446 eV/atom
Magnetization   0.0 Bohr magnetons per cell
Symmetry   Pmmm
E   -63.162 eV per cell

=====

No. 20
First-principles (PBE) data for crystalline TaTi2BeF at its relaxed geometry, as listed in the Alexandria database.

Lattice parameters (Å, degrees): 4.0660 4.0660 4.3125 90.00 90.00 90.00
Atoms (fractional coordinates):
Ta: 0.0000 0.0000 0.0000
Ti: 0.0000 0.5000 0.5000
Ti: 0.5000 0.0000 0.5000
Be: 0.5000 0.5000 0.0000
F: 0.0000 0.0000 0.5000

Calculated values
Crystal system   tetragonal
ΔE_f (raw)   -0.131 eV/atom
Magnetization   0.5 Bohr magnetons per cell
Symmetry   P4/mmm
E   -33.894 eV per cell

=====

No. 21
First-principles (PBE) data for crystalline CaMn3As at its relaxed geometry, as listed in the Alexandria database.

Lattice parameters (Å, degrees): 4.8182 4.8182 4.8182 90.00 90.00 90.00
Atoms (fractional coordinates):
Ca: 0.0000 0.0000 0.0000
Mn: 0.0000 0.0000 0.5000
Mn: 0.0000 0.5000 0.0000
Mn: 0.5000 0.0000 0.0000
As: 0.5000 0.5000 0.5000

Calculated values
Crystal system   cubic
Magnetization   11.1 Bohr magnetons per cell
Symmetry   Pm-3m
E   -25.247 eV per cell
E_form   860 kJ/mol of formula units

=====

No. 22
First-principles (PBE) data for crystalline LiNdSi2Pt at its relaxed geometry, as listed in the Alexandria database.

Lattice parameters (Å, degrees): 4.1020 4.1020 10.4301 90.00 90.00 90.00
Atoms (fractional coordinates):
Li: 0.0000 0.0000 0.0000
Li: 0.5000 0.5000 0.5000
Nd: 0.0000 0.5000 0.2500
Nd: 0.5000 0.0000 0.7500
Si: 0.0000 0.5000 0.6357
Si: 0.0000 0.5000 0.8643
Si: 0.5000 0.0000 0.1357
Si: 0.5000 0.0000 0.3643
Pt: 0.0000 0.0000 0.5000
Pt: 0.5000 0.5000 0.0000

Calculated values
Crystal system   tetragonal
ΔE_f (raw)   -0.886 eV/atom
Magnetization   0.0 Bohr magnetons per cell
Symmetry   I-4m2
E   -56.000 eV per cell

=====

No. 23
First-principles (PBE) data for crystalline NdDy3Tm4 at its relaxed geometry, as listed in the Alexandria database.

Lattice parameters (Å, degrees): 11.2033 7.2286 6.2411 90.00 90.00 90.00
Atoms (fractional coordinates):
Nd: 0.0000 0.1267 0.0000
Nd: 0.5000 0.8733 0.5000
Dy: 0.0000 0.8726 0.4990
Dy: 0.2502 0.1276 0.3344
Dy: 0.2498 0.8724 0.8344
Dy: 0.5000 0.1274 0.9990
Dy: 0.7498 0.1276 0.3344
Dy: 0.7502 0.8724 0.8344
Tm: 0.0000 0.3777 0.5011
Tm: 0.0000 0.6224 0.0006
Tm: 0.2485 0.6225 0.3338
Tm: 0.2515 0.3775 0.8338
Tm: 0.5000 0.3776 0.5006
Tm: 0.5000 0.6223 0.0011
Tm: 0.7485 0.3775 0.8338
Tm: 0.7515 0.6225 0.3338

Calculated values
Crystal system   orthorhombic
Magnetization   0.0 Bohr magnetons per cell
Symmetry   Pmn2_1
E   -72.787 eV per cell
E_form   6 kJ/mol of formula units

=====

No. 24
First-principles (PBE) data for crystalline Tl2MoSe at its relaxed geometry, as listed in the Alexandria database.

Lattice parameters (Å, degrees): 2.9530 2.9530 10.5347 90.00 90.00 90.00
Atoms (fractional coordinates):
Tl: 0.0000 0.0000 0.2248
Tl: 0.0000 0.0000 0.7752
Mo: 0.5000 0.5000 0.0000
Se: 0.5000 0.5000 0.5000

Calculated values
Crystal system   tetragonal
ΔE_f (raw)   0.720 eV/atom
Magnetization   0.0 Bohr magnetons per cell
Symmetry   P4/mmm
E   -16.170 eV per cell